1.
Computed, not measured: an optimized crystal structure of Cs2Na6Cd3 at the GGA-PBE level of DFT.

It has space group P-62m (No. 189), with a = 9.9723 Å, b = 9.9723 Å, c = 5.4418 Å, α = 90.00°, β = 90.00° and γ = 120.00°. The asymmetric unit holds Cs at (0.3333, 0.6667, 0.0000), Na at (0.0000, 0.2022, 0.0000), Na at (0.0000, 0.7199, 0.5000) and Cd at (0.0000, 0.3814, 0.5000).


2.
Computed, not measured: an optimized crystal structure of KSr at the GGA-PBE level of DFT.

It has space group R-3m (No. 166, hexagonal axes), with a = 4.3495 Å, b = 4.3495 Å, c = 22.6407 Å, α = 90.00°, β = 90.00° and γ = 120.00°. The asymmetric unit holds K at (0.0000, 0.0000, 0.0000) and Sr at (0.0000, 0.0000, 0.5000).


3.
Computed, not measured: an optimized crystal structure of CePmCuSn at the GGA-PBE level of DFT.

It has space group F-43m (No. 216), with a = 7.484 Å, b = 7.484 Å, c = 7.484 Å, α = 90.00°, β = 90.00° and γ = 90.00°. The asymmetric unit holds Ce at (0.000, 0.000, 0.000), Pm at (0.000, 0.000, 0.500), Cu at (0.250, 0.250, 0.750) and Sn at (0.250, 0.250, 0.250).


| no. | raw total energy (eV/cell) | total magnetic moment (μB per atom) |
| --- | --- | --- |
| 1 | -12.24 | 0.00 |
| 2 | -7.73 | 0.00 |
| 3 | -80.43 | 0.42 |